## KW2Se (PBE)

Data for crystalline KW2Se at its relaxed geometry.

Cell and atoms, written as CIF:
```
data_KW2Se
_chemical_formula_sum 'K2 W4 Se2'
_cell_length_a 5.5139
_cell_length_b 11.5245
_cell_length_c 2.6633
_cell_angle_alpha 90.00
_cell_angle_beta 90.00
_cell_angle_gamma 90.00
_space_group_name_H-M_alt 'C m m m'
_space_group_IT_number 65
_space_group_name_Hall '-C 2 2'
loop_
_atom_site_label
_atom_site_type_symbol
_atom_site_fract_x
_atom_site_fract_y
_atom_site_fract_z
K1 K 0.0000 0.0000 0.0000
W1 W 0.2500 0.2500 0.5000
Se1 Se 0.0000 0.5000 0.0000
```

Calculated values
Raw total energy: -49.05 eV per cell
Formation energy from raw total energies: 1.49 eV per atom

## ZnSeN2O (PBE)

Data for crystalline ZnSeN2O at its relaxed geometry.

Cell and atoms, written as CIF:
```
data_ZnSeN2O
_chemical_formula_sum 'Zn1 Se1 N2 O1'
_cell_length_a 3.9436
_cell_length_b 3.9436
_cell_length_c 3.7584
_cell_angle_alpha 90.00
_cell_angle_beta 90.00
_cell_angle_gamma 90.00
_space_group_name_H-M_alt 'P 4/m m m'
_space_group_IT_number 123
_space_group_name_Hall '-P 4 2'
loop_
_atom_site_label
_atom_site_type_symbol
_atom_site_fract_x
_atom_site_fract_y
_atom_site_fract_z
Zn1 Zn 0.0000 0.0000 0.0000
Se1 Se 0.5000 0.5000 0.5000
N1 N 0.0000 0.5000 0.0000
O1 O 0.0000 0.0000 0.5000
```

Calculated values
Raw total energy: -18.43 eV per cell
Formation energy from raw total energies: 1.59 eV per atom

## TbEu2Mg (PBE)

Data for crystalline TbEu2Mg at its relaxed geometry.

Cell and atoms, written as CIF:
```
data_TbEu2Mg
_chemical_formula_sum 'Tb3 Eu6 Mg3'
_cell_length_a 3.6694
_cell_length_b 3.6694
_cell_length_c 35.4269
_cell_angle_alpha 90.00
_cell_angle_beta 90.00
_cell_angle_gamma 120.00
_space_group_name_H-M_alt 'R -3 m'
_space_group_IT_number 166
_space_group_name_Hall '-R 3 2"'
loop_
_atom_site_label
_atom_site_type_symbol
_atom_site_fract_x
_atom_site_fract_y
_atom_site_fract_z
Tb1 Tb 0.0000 0.0000 0.0000
Eu1 Eu 0.0000 0.0000 0.2465
Mg1 Mg 0.0000 0.0000 0.5000
```

Calculated values
Raw total energy: -79.38 eV per cell
Distance to the lowest polymorph of the same formula: 37 meV/atom

## AsPbSe2 (PBE)

Data for crystalline AsPbSe2 at its relaxed geometry.

Cell and atoms, written as CIF:
```
data_AsPbSe2
_chemical_formula_sum 'As2 Pb2 Se4'
_cell_length_a 3.8879
_cell_length_b 5.6589
_cell_length_c 9.0996
_cell_angle_alpha 90.00
_cell_angle_beta 90.00
_cell_angle_gamma 90.00
_space_group_name_H-M_alt 'I m m m'
_space_group_IT_number 71
_space_group_name_Hall '-I 2 2'
loop_
_atom_site_label
_atom_site_type_symbol
_atom_site_fract_x
_atom_site_fract_y
_atom_site_fract_z
As1 As 0.0000 0.0000 0.0000
Pb1 Pb 0.0000 0.0000 0.5000
Se1 Se 0.0000 0.5000 0.3029
```

Calculated values
Raw total energy: -30.94 eV per cell
Formation energy from raw total energies: -0.04 eV per atom
Distance to the lowest polymorph of the same formula: 158 meV/atom